*P*
Material: LaZnCl2
Method: DFT, PBE
State: relaxed

The value obtained for the density of states at the Fermi level is 0.508 states/eV per atom.

The structure belongs to space group Cm (No. 8); the cell edges are 14.972, 3.545 and 4.778 Å and the angles 90.00°, 108.45° and 90.00°. The inequivalent atoms are La at (0.000, 0.000, 0.000), Zn at (0.198, 0.500, 0.195), Cl at (0.026, 0.500, 0.525) and Cl at (0.341, 0.000, 0.842).



*Q*
Material: LaZnCl2
Method: DFT, PBE
State: relaxed

The value obtained for the density of states at the Fermi level is 0.856 states/eV per atom.

The structure belongs to space group I4/mmm (No. 139); the cell edges are 4.679, 4.679 and 8.499 Å and the angles 90.00°, 90.00° and 90.00°. The inequivalent atoms are La at (0.000, 0.000, 0.000), Zn at (0.000, 0.000, 0.500) and Cl at (0.000, 0.500, 0.250).



Which of them is most stable? Easy: *P*.



*P*
Material: LaZnCl3
Method: DFT, PBE
State: relaxed

The value obtained for the density of states at the Fermi level is 0.000 states/eV per atom.

The structure belongs to space group Pm-3m (No. 221); the cell edges are 5.609, 5.609 and 5.609 Å and the angles 90.00°, 90.00° and 90.00°. The inequivalent atoms are La at (0.000, 0.000, 0.000), Zn at (0.500, 0.500, 0.500) and Cl at (0.000, 0.000, 0.500).



*Q*
Material: LaZnCl3
Method: DFT, PBE
State: relaxed

The value obtained for the density of states at the Fermi level is 1.471 states/eV per atom.

The structure belongs to space group Pm-3m (No. 221); the cell edges are 4.976, 4.976 and 4.976 Å and the angles 90.00°, 90.00° and 90.00°. The inequivalent atoms are La at (0.000, 0.000, 0.000), Zn at (0.500, 0.500, 0.500) and Cl at (0.000, 0.500, 0.500).



Which of them is most stable? Easy: *P*.